1.
Y3Er3CoTe2: optimized geometry, PBE-GGA.

Structure (CIF):
```
data_Y3Er3CoTe2
_chemical_formula_sum 'Y3 Er3 Co1 Te2'
_symmetry_space_group_name_H-M 'P -6 2 m'
_symmetry_Int_Tables_number 189
_symmetry_space_group_name_Hall 'P -6 -2'
_cell_length_a 8.3000
_cell_length_b 8.3000
_cell_length_c 3.9300
_cell_angle_alpha 90.00
_cell_angle_beta 90.00
_cell_angle_gamma 120.00
loop_
_atom_site_label
_atom_site_fract_x
_atom_site_fract_y
_atom_site_fract_z
Y1 0.0000 0.3979 0.0000
Er1 0.0000 0.7663 0.5000
Co1 0.0000 0.0000 0.0000
Te1 0.3333 0.6667 0.5000
```

***

2.
Y3Er4Co2Te2: optimized geometry, PBE-GGA.

Structure (CIF):
```
data_Y3Er4Co2Te2
_chemical_formula_sum 'Y6 Er8 Co4 Te4'
_symmetry_space_group_name_H-M 'I m m 2'
_symmetry_Int_Tables_number 44
_cell_length_a 3.841
_cell_length_b 15.652
_cell_length_c 9.422
_cell_angle_alpha 90.00
_cell_angle_beta 90.00
_cell_angle_gamma 90.00
loop_
_symmetry_equiv_pos_as_xyz
'x,y,z'
'-x,-y,z'
'-x,y,z'
'x,-y,z'
'x+1/2,y+1/2,z+1/2'
'-x+1/2,-y+1/2,z+1/2'
'-x+1/2,y+1/2,z+1/2'
'x+1/2,-y+1/2,z+1/2'
loop_
_atom_site_label
_atom_site_fract_x
_atom_site_fract_y
_atom_site_fract_z
Y1 0.000 0.000 0.000
Y2 0.000 0.351 0.267
Er1 0.000 0.135 0.416
Er2 0.000 0.314 0.622
Co1 0.000 0.239 0.931
Te1 0.000 0.000 0.661
Te2 0.000 0.500 0.766
```

***

3.
Er6TlCo2: optimized geometry, PBE-GGA.

Structure (CIF):
```
data_Er6TlCo2
_chemical_formula_sum 'Er24 Tl4 Co8'
_symmetry_space_group_name_H-M 'I m m m'
_symmetry_Int_Tables_number 71
_symmetry_space_group_name_Hall '-I 2 2'
_cell_length_a 9.360
_cell_length_b 9.541
_cell_length_c 9.901
_cell_angle_alpha 90.00
_cell_angle_beta 90.00
_cell_angle_gamma 90.00
loop_
_atom_site_label
_atom_site_fract_x
_atom_site_fract_y
_atom_site_fract_z
Er1 0.000 0.213 0.231
Er2 0.197 0.500 0.184
Er3 0.211 0.313 0.500
Tl1 0.000 0.000 0.000
Tl2 0.000 0.000 0.500
Co1 0.000 0.379 0.000
Co2 0.000 0.500 0.387
```

***

4.
Er12TlCo6: optimized geometry, PBE-GGA.

Structure (CIF):
```
data_Er12TlCo6
_chemical_formula_sum 'Er24 Tl2 Co12'
_symmetry_space_group_name_H-M 'I m -3'
_symmetry_Int_Tables_number 204
_symmetry_space_group_name_Hall '-I 2 2 3'
_cell_length_a 9.544
_cell_length_b 9.544
_cell_length_c 9.544
_cell_angle_alpha 90.00
_cell_angle_beta 90.00
_cell_angle_gamma 90.00
loop_
_atom_site_label
_atom_site_fract_x
_atom_site_fract_y
_atom_site_fract_z
Er1 0.000 0.302 0.194
Tl1 0.000 0.000 0.000
Co1 0.000 0.114 0.500
```

***

5.
ErTmTlCo2: optimized geometry, PBE-GGA.

Structure (CIF):
```
data_ErTmTlCo2
_chemical_formula_sum 'Er2 Tm2 Tl2 Co4'
_symmetry_space_group_name_H-M 'A m m 2'
_symmetry_Int_Tables_number 38
_cell_length_a 3.803
_cell_length_b 3.793
_cell_length_c 13.941
_cell_angle_alpha 90.00
_cell_angle_beta 90.00
_cell_angle_gamma 90.00
loop_
_symmetry_equiv_pos_as_xyz
'x,y,z'
'-x,-y,z'
'-x,y,z'
'x,-y,z'
'x,y+1/2,z+1/2'
'-x,-y+1/2,z+1/2'
'-x,y+1/2,z+1/2'
'x,-y+1/2,z+1/2'
loop_
_atom_site_label
_atom_site_fract_x
_atom_site_fract_y
_atom_site_fract_z
Er1 0.000 0.000 0.000
Tm1 0.000 0.000 0.718
Tl1 0.500 0.000 0.359
Co1 0.500 0.000 0.153
Co2 0.500 0.000 0.565
```

***

6.
# ErTmCo4, optimized geometry, DFT PBE-GGA
# - energy relative to the elements (eV per atom) = -0.25
data_ErTmCo4
_chemical_formula_sum 'Er4 Tm4 Co16'
_symmetry_space_group_name_H-M 'F -4 3 m'
_symmetry_Int_Tables_number 216
_symmetry_space_group_name_Hall 'F -4 2 3'
_cell_length_a 7.063
_cell_length_b 7.063
_cell_length_c 7.063
_cell_angle_alpha 90.00
_cell_angle_beta 90.00
_cell_angle_gamma 90.00
loop_
_atom_site_label
_atom_site_fract_x
_atom_site_fract_y
_atom_site_fract_z
Er1 0.000 0.000 0.000
Tm1 0.250 0.250 0.250
Co1 0.125 0.125 0.625

***

7.
# YErCo4, optimized geometry, DFT PBE-GGA
# - energy relative to the elements (eV per atom) = 1.08
# - energy above the most stable polymorph in this dataset (eV per atom) = 1.289
data_YErCo4
_chemical_formula_sum 'Y2 Er2 Co8'
_symmetry_space_group_name_H-M 'C m m m'
_symmetry_Int_Tables_number 65
_symmetry_space_group_name_Hall '-C 2 2'
_cell_length_a 6.942
_cell_length_b 7.006
_cell_length_c 5.164
_cell_angle_alpha 90.00
_cell_angle_beta 90.00
_cell_angle_gamma 90.00
loop_
_atom_site_label
_atom_site_fract_x
_atom_site_fract_y
_atom_site_fract_z
Y1 0.000 0.000 0.000
Er1 0.000 0.500 0.500
Co1 0.000 0.351 0.000
Co2 0.151 0.000 0.500

***

8.
# Y2ErCo9, optimized geometry, DFT PBE-GGA
# - energy relative to the elements (eV per atom) = -0.17
data_Y2ErCo9
_chemical_formula_sum 'Y6 Er3 Co27'
_symmetry_space_group_name_H-M 'R -3 m'
_symmetry_Int_Tables_number 166
_symmetry_space_group_name_Hall '-R 3 2"'
_cell_length_a 4.9390
_cell_length_b 4.9390
_cell_length_c 24.2524
_cell_angle_alpha 90.00
_cell_angle_beta 90.00
_cell_angle_gamma 120.00
loop_
_atom_site_label
_atom_site_fract_x
_atom_site_fract_y
_atom_site_fract_z
Y1 0.0000 0.0000 0.1395
Er1 0.0000 0.0000 0.0000
Co1 0.0000 0.0000 0.3345
Co2 0.0000 0.0000 0.5000
Co3 0.0017 0.5008 0.9193

***

9.
# YErCo4, optimized geometry, DFT PBE-GGA
# - energy relative to the elements (eV per atom) = -0.21
# - energy above the most stable polymorph in this dataset (eV per atom) = 0.000
data_YErCo4
_chemical_formula_sum 'Y4 Er4 Co16'
_symmetry_space_group_name_H-M 'F -4 3 m'
_symmetry_Int_Tables_number 216
_symmetry_space_group_name_Hall 'F -4 2 3'
_cell_length_a 7.120
_cell_length_b 7.120
_cell_length_c 7.120
_cell_angle_alpha 90.00
_cell_angle_beta 90.00
_cell_angle_gamma 90.00
loop_
_atom_site_label
_atom_site_fract_x
_atom_site_fract_y
_atom_site_fract_z
Y1 0.000 0.000 0.000
Er1 0.250 0.250 0.750
Co1 0.125 0.125 0.375

***

10.
# ErZn8Co4, optimized geometry, DFT PBE-GGA
# - energy relative to the elements (eV per atom) = -0.17
data_ErZn8Co4
_chemical_formula_sum 'Er2 Zn16 Co8'
_symmetry_space_group_name_H-M 'I 4/m m m'
_symmetry_Int_Tables_number 139
_symmetry_space_group_name_Hall '-I 4 2'
_cell_length_a 8.575
_cell_length_b 8.575
_cell_length_c 4.974
_cell_angle_alpha 90.00
_cell_angle_beta 90.00
_cell_angle_gamma 90.00
loop_
_atom_site_label
_atom_site_fract_x
_atom_site_fract_y
_atom_site_fract_z
Er1 0.000 0.000 0.000
Zn1 0.000 0.224 0.500
Zn2 0.000 0.338 0.000
Co1 0.250 0.250 0.250

***

11.
# Er2ZrCo2, optimized geometry, DFT PBE-GGA
# - energy relative to the elements (eV per atom) = -0.27
data_Er2ZrCo2
_chemical_formula_sum 'Er8 Zr4 Co8'
_symmetry_space_group_name_H-M 'C 1 2/c 1'
_symmetry_Int_Tables_number 15
_cell_length_a 10.012
_cell_length_b 5.794
_cell_length_c 7.126
_cell_angle_alpha 90.00
_cell_angle_beta 101.41
_cell_angle_gamma 90.00
loop_
_symmetry_equiv_pos_as_xyz
'x,y,z'
'-x,-y,-z'
'-x,y,-z+1/2'
'x,-y,z+1/2'
'x+1/2,y+1/2,z'
'-x+1/2,-y+1/2,-z'
'-x+1/2,y+1/2,-z+1/2'
'x+1/2,-y+1/2,z+1/2'
loop_
_atom_site_label
_atom_site_fract_x
_atom_site_fract_y
_atom_site_fract_z
Er1 0.150 0.117 0.149
Zr1 0.000 0.407 0.750
Co1 0.150 0.344 0.502

***

12.
# Fe7Co6, optimized geometry, DFT PBE-GGA
# - energy relative to the elements (eV per atom) = 0.06
data_Fe7Co6
_chemical_formula_sum 'Fe21 Co18'
_symmetry_space_group_name_H-M 'R -3 m'
_symmetry_Int_Tables_number 166
_symmetry_space_group_name_Hall '-R 3 2"'
_cell_length_a 4.6038
_cell_length_b 4.6038
_cell_length_c 24.4695
_cell_angle_alpha 90.00
_cell_angle_beta 90.00
_cell_angle_gamma 120.00
loop_
_atom_site_label
_atom_site_fract_x
_atom_site_fract_y
_atom_site_fract_z
Fe1 0.0000 0.0000 0.0000
Fe2 0.0000 0.0000 0.1662
Fe3 0.0000 0.0000 0.3487
Fe4 0.0000 0.0000 0.4522
Co1 0.0045 0.5023 0.4120

***

13.
# Fe7Co, optimized geometry, DFT PBE-GGA
# - energy relative to the elements (eV per atom) = -0.02
data_Fe7Co
_chemical_formula_sum 'Fe14 Co2'
_symmetry_space_group_name_H-M 'I m -3 m'
_symmetry_Int_Tables_number 229
_symmetry_space_group_name_Hall '-I 4 2 3'
_cell_length_a 5.667
_cell_length_b 5.667
_cell_length_c 5.667
_cell_angle_alpha 90.00
_cell_angle_beta 90.00
_cell_angle_gamma 90.00
loop_
_atom_site_label
_atom_site_fract_x
_atom_site_fract_y
_atom_site_fract_z
Fe1 0.000 0.000 0.500
Fe2 0.250 0.250 0.250
Co1 0.000 0.000 0.000

***

14.
# Fe7Co2, optimized geometry, DFT PBE-GGA
# - energy relative to the elements (eV per atom) = -0.04
data_Fe7Co2
_chemical_formula_sum 'Fe7 Co2'
_symmetry_space_group_name_H-M 'P -3 m 1'
_symmetry_Int_Tables_number 164
_symmetry_space_group_name_Hall '-P 3 2"'
_cell_length_a 4.0069
_cell_length_b 4.0069
_cell_length_c 7.3820
_cell_angle_alpha 90.00
_cell_angle_beta 90.00
_cell_angle_gamma 120.00
loop_
_atom_site_label
_atom_site_fract_x
_atom_site_fract_y
_atom_site_fract_z
Fe1 0.0000 0.0000 0.0000
Fe2 0.0000 0.0000 0.3320
Fe3 0.3333 0.6667 0.5526
Fe4 0.3333 0.6667 0.8893
Co1 0.3333 0.6667 0.2220

***

15.
# Fe8Co, optimized geometry, DFT PBE-GGA
# - energy relative to the elements (eV per atom) = 0.84
data_Fe8Co
_chemical_formula_sum 'Fe8 Co1'
_symmetry_space_group_name_H-M 'P 6/m m m'
_symmetry_Int_Tables_number 191
_symmetry_space_group_name_Hall '-P 6 2'
_cell_length_a 7.6308
_cell_length_b 7.6308
_cell_length_c 2.3578
_cell_angle_alpha 90.00
_cell_angle_beta 90.00
_cell_angle_gamma 120.00
loop_
_atom_site_label
_atom_site_fract_x
_atom_site_fract_y
_atom_site_fract_z
Fe1 0.1698 0.3397 0.0000
Fe2 0.3333 0.6667 0.0000
Co1 0.0000 0.0000 0.5000

***

16.
# Fe15Co, optimized geometry, DFT PBE-GGA
# - energy relative to the elements (eV per atom) = -0.01
data_Fe15Co
_chemical_formula_sum 'Fe15 Co1'
_symmetry_space_group_name_H-M 'P m -3 m'
_symmetry_Int_Tables_number 221
_symmetry_space_group_name_Hall '-P 4 2 3'
_cell_length_a 5.658
_cell_length_b 5.658
_cell_length_c 5.658
_cell_angle_alpha 90.00
_cell_angle_beta 90.00
_cell_angle_gamma 90.00
loop_
_atom_site_label
_atom_site_fract_x
_atom_site_fract_y
_atom_site_fract_z
Fe1 0.000 0.000 0.000
Fe2 0.000 0.000 0.500
Fe3 0.000 0.500 0.500
Fe4 0.250 0.250 0.250
Co1 0.500 0.500 0.500

***

17.
# Fe5Co3, optimized geometry, DFT PBE-GGA
# - energy relative to the elements (eV per atom) = -0.06
data_Fe5Co3
_chemical_formula_sum 'Fe10 Co6'
_symmetry_space_group_name_H-M 'I m -3 m'
_symmetry_Int_Tables_number 229
_symmetry_space_group_name_Hall '-I 4 2 3'
_cell_length_a 5.668
_cell_length_b 5.668
_cell_length_c 5.668
_cell_angle_alpha 90.00
_cell_angle_beta 90.00
_cell_angle_gamma 90.00
loop_
_atom_site_label
_atom_site_fract_x
_atom_site_fract_y
_atom_site_fract_z
Fe1 0.000 0.000 0.000
Fe2 0.250 0.250 0.250
Co1 0.000 0.000 0.500

***

18.
Ga2FeCo: optimized geometry, PBE-GGA.

Structure (CIF):
```
data_Ga2FeCo
_chemical_formula_sum 'Ga8 Fe4 Co4'
_symmetry_space_group_name_H-M 'F -4 3 m'
_symmetry_Int_Tables_number 216
_symmetry_space_group_name_Hall 'F -4 2 3'
_cell_length_a 5.912
_cell_length_b 5.912
_cell_length_c 5.912
_cell_angle_alpha 90.00
_cell_angle_beta 90.00
_cell_angle_gamma 90.00
loop_
_atom_site_label
_atom_site_fract_x
_atom_site_fract_y
_atom_site_fract_z
Ga1 0.000 0.000 0.000
Ga2 0.250 0.250 0.250
Fe1 0.000 0.000 0.500
Co1 0.250 0.250 0.750
```

***

19.
HfGa2Fe2CoIr2: optimized geometry, PBE-GGA.

Structure (CIF):
```
data_HfGa2Fe2CoIr2
_chemical_formula_sum 'Hf1 Ga2 Fe2 Co1 Ir2'
_symmetry_space_group_name_H-M 'P -4 m 2'
_symmetry_Int_Tables_number 115
_cell_length_a 4.217
_cell_length_b 4.217
_cell_length_c 6.243
_cell_angle_alpha 90.00
_cell_angle_beta 90.00
_cell_angle_gamma 90.00
loop_
_symmetry_equiv_pos_as_xyz
'x,y,z'
'y,-x,-z'
'-x,-y,z'
'-y,x,-z'
'-x,y,z'
'-y,-x,-z'
'x,-y,z'
'y,x,-z'
loop_
_atom_site_label
_atom_site_fract_x
_atom_site_fract_y
_atom_site_fract_z
Hf1 0.000 0.000 0.000
Ga1 0.000 0.000 0.500
Ga2 0.500 0.500 0.000
Fe1 0.000 0.500 0.722
Co1 0.500 0.500 0.500
Ir1 0.000 0.500 0.260
```

***

20.
Hf2Ga2FeCoIr2: optimized geometry, PBE-GGA.

Structure (CIF):
```
data_Hf2Ga2FeCoIr2
_chemical_formula_sum 'Hf2 Ga2 Fe1 Co1 Ir2'
_symmetry_space_group_name_H-M 'P -4 m 2'
_symmetry_Int_Tables_number 115
_cell_length_a 4.381
_cell_length_b 4.381
_cell_length_c 6.195
_cell_angle_alpha 90.00
_cell_angle_beta 90.00
_cell_angle_gamma 90.00
loop_
_symmetry_equiv_pos_as_xyz
'x,y,z'
'y,-x,-z'
'-x,-y,z'
'-y,x,-z'
'-x,y,z'
'-y,-x,-z'
'x,-y,z'
'y,x,-z'
loop_
_atom_site_label
_atom_site_fract_x
_atom_site_fract_y
_atom_site_fract_z
Hf1 0.000 0.500 0.250
Ga1 0.000 0.500 0.750
Fe1 0.000 0.000 0.500
Co1 0.500 0.500 0.000
Ir1 0.000 0.000 0.000
Ir2 0.500 0.500 0.500
```

***

no.,energy (eV per cell),total magnetization (μB per atom)
1,-52.68,0.004
2,-129.93,0.005
3,-185.24,0.001
4,-209.41,0.007
5,-54.30,0.263
6,-155.82,0.612
7,-65.94,0.837
8,-250.42,0.857
9,-162.81,0.616
10,-90.64,0.299
11,-132.86,0.000
12,-300.08,2.153
13,-130.91,2.307
14,-72.73,2.333
15,-66.03,1.427
16,-131.90,2.247
17,-126.70,2.288
18,-85.08,0.897
19,-60.07,0.601
20,-64.02,0.102